Crystalline Zr3Co at its relaxed geometry. Source: Alexandria, functional PBE.

Output
DFT formation energy: -7 kJ/mol of formula units
symmetry: Pmmn, No. 59
calculated density: 6.6 g cm⁻³

```
Zr3Co
1.0
-0.879 3.033 1.019
-8.006 -2.018 -0.900
-0.149 -1.978 5.761
Zr Co
6 2
Direct
0.500 0.549 0.000
0.000 0.451 0.500
0.500 0.169 0.253
0.500 0.169 0.747
0.000 0.831 0.247
0.000 0.831 0.753
0.500 0.688 0.500
0.000 0.312 0.000
```